(1)
This record from Alexandria via LeMat-Bulk describes an optimized crystal structure of Sc2CoC2. The functional is PBE.

Summary:
For the raw total energy, the calculation gives -0.58592 Ry/atom. As for the crystal system: orthorhombic. For the total moment, the calculation gives 0.0002 μB/atom. The formation energy from the elements is -1.6 eV per formula unit. As for the distance to the lowest polymorph of the same formula: 0 meV/atom.

```
data_Sc2CoC2
_symmetry_space_group_name_H-M 'P n m a'
_symmetry_Int_Tables_number 62
_symmetry_space_group_name_Hall '-P 2ac 2n'
_cell_length_a 6.034
_cell_length_b 4.681
_cell_length_c 9.062
_cell_angle_alpha 90.00
_cell_angle_beta 90.00
_cell_angle_gamma 90.00
loop_
_atom_site_label
_atom_site_fract_x
_atom_site_fract_y
_atom_site_fract_z
Sc1 0.028 0.250 0.216
Sc2 0.167 0.250 0.559
Co1 0.219 0.250 0.864
C1 0.049 0.750 0.235
C2 0.174 0.750 0.560
```

---

(2)
This record from Alexandria via LeMat-Bulk describes an optimized crystal structure of Tb3Pm3DyS8. The functional is PBE.

Summary:
For the uncorrected formation energy, the calculation gives -2062 meV per atom. For the raw total energy, the calculation gives -0.47382 Ry/atom. As for the crystal system: trigonal. For the total moment, the calculation gives 0.0000 μB/atom.

```
data_Tb3Pm3DyS8
_symmetry_space_group_name_H-M 'R -3 m'
_symmetry_Int_Tables_number 166
_symmetry_space_group_name_Hall '-R 3 2"'
_cell_length_a 7.9172
_cell_length_b 7.9172
_cell_length_c 19.5559
_cell_angle_alpha 90.00
_cell_angle_beta 90.00
_cell_angle_gamma 120.00
loop_
_atom_site_label
_atom_site_fract_x
_atom_site_fract_y
_atom_site_fract_z
Tb1 0.0000 0.5000 0.0000
Pm1 0.0000 0.5000 0.5000
Dy1 0.0000 0.0000 0.0000
S1 0.0000 0.0000 0.2531
S2 0.0003 0.5001 0.2531
```

---

(3)
This record from Alexandria via LeMat-Bulk describes an optimized crystal structure of Pr12Co5Sb. The functional is PBE.

Summary:
For the uncorrected formation energy, the calculation gives -170 meV per atom. For the raw total energy, the calculation gives -0.40863 Ry/atom. As for the crystal system: orthorhombic. For the total moment, the calculation gives 0.0000 μB/atom.

```
data_Pr12Co5Sb
_symmetry_space_group_name_H-M 'I m m m'
_symmetry_Int_Tables_number 71
_symmetry_space_group_name_Hall '-I 2 2'
_cell_length_a 9.856
_cell_length_b 9.947
_cell_length_c 10.226
_cell_angle_alpha 90.00
_cell_angle_beta 90.00
_cell_angle_gamma 90.00
loop_
_atom_site_label
_atom_site_fract_x
_atom_site_fract_y
_atom_site_fract_z
Pr1 0.000 0.190 0.197
Pr2 0.192 0.500 0.186
Pr3 0.200 0.313 0.500
Co1 0.000 0.000 0.000
Co2 0.000 0.382 0.000
Co3 0.000 0.500 0.389
Sb1 0.000 0.000 0.500
```

---

(4)
This record from Alexandria via LeMat-Bulk describes an optimized crystal structure of LaCdAg3. The functional is PBE.

Summary:
For the raw total energy, the calculation gives -0.22780 Ry/atom. As for the crystal system: monoclinic. For the total moment, the calculation gives 0.0000 μB/atom. The formation energy from the elements is -1.1 eV per formula unit. As for the distance to the lowest polymorph of the same formula: 0 meV/atom.

```
data_LaCdAg3
_symmetry_space_group_name_H-M 'P 1 21/m 1'
_symmetry_Int_Tables_number 11
_symmetry_space_group_name_Hall '-P 2yb'
_cell_length_a 5.886
_cell_length_b 5.984
_cell_length_c 6.487
_cell_angle_alpha 90.00
_cell_angle_beta 93.24
_cell_angle_gamma 90.00
loop_
_atom_site_label
_atom_site_fract_x
_atom_site_fract_y
_atom_site_fract_z
La1 0.163 0.250 0.167
Cd1 0.076 0.750 0.372
Ag1 0.346 0.005 0.670
Ag2 0.360 0.750 0.043
```

---

(5)
This record from Alexandria via LeMat-Bulk describes an optimized crystal structure of Tb8SmDy2. The functional is PBE.

Summary:
For the raw total energy, the calculation gives -0.33223 Ry/atom. As for the crystal system: orthorhombic. For the total moment, the calculation gives 0.0000 μB/atom. The formation energy from the elements is 1.2 eV per formula unit. As for the distance to the lowest polymorph of the same formula: 0 meV/atom.

```
data_Tb8SmDy2
_symmetry_space_group_name_H-M 'I m m m'
_symmetry_Int_Tables_number 71
_symmetry_space_group_name_Hall '-I 2 2'
_cell_length_a 5.538
_cell_length_b 8.146
_cell_length_c 15.889
_cell_angle_alpha 90.00
_cell_angle_beta 90.00
_cell_angle_gamma 90.00
loop_
_atom_site_label
_atom_site_fract_x
_atom_site_fract_y
_atom_site_fract_z
Tb1 0.000 0.000 0.163
Tb2 0.000 0.206 0.362
Tb3 0.000 0.295 0.000
Sm1 0.000 0.500 0.500
Dy1 0.000 0.500 0.200
```

---

(6)
This record from Alexandria via LeMat-Bulk describes an optimized crystal structure of LiTlCu. The functional is PBE.

Summary:
For the raw total energy, the calculation gives -0.20301 Ry/atom. As for the crystal system: trigonal. For the total moment, the calculation gives 0.0000 μB/atom. The formation energy from the elements is 0.1 eV per formula unit. As for the distance to the lowest polymorph of the same formula: 51 meV/atom.

```
data_LiTlCu
_symmetry_space_group_name_H-M 'P 3 m 1'
_symmetry_Int_Tables_number 156
_symmetry_space_group_name_Hall 'P 3 -2"'
_cell_length_a 4.5954
_cell_length_b 4.5954
_cell_length_c 3.0694
_cell_angle_alpha 90.00
_cell_angle_beta 90.00
_cell_angle_gamma 120.00
loop_
_atom_site_label
_atom_site_fract_x
_atom_site_fract_y
_atom_site_fract_z
Li1 0.0000 0.0000 0.0000
Tl1 0.3333 0.6667 0.4941
Cu1 0.6667 0.3333 0.5082
```

---

(7)
This record from Alexandria via LeMat-Bulk describes an optimized crystal structure of CoTc2Te. The functional is PBE.

Summary:
For the uncorrected formation energy, the calculation gives 499 meV per atom. For the raw total energy, the calculation gives -0.53258 Ry/atom. As for the crystal system: orthorhombic. For the total moment, the calculation gives 0.3062 μB/atom.

```
data_CoTc2Te
_symmetry_space_group_name_H-M 'I m m m'
_symmetry_Int_Tables_number 71
_symmetry_space_group_name_Hall '-I 2 2'
_cell_length_a 3.145
_cell_length_b 4.372
_cell_length_c 9.027
_cell_angle_alpha 90.00
_cell_angle_beta 90.00
_cell_angle_gamma 90.00
loop_
_atom_site_label
_atom_site_fract_x
_atom_site_fract_y
_atom_site_fract_z
Co1 0.000 0.000 0.000
Tc1 0.000 0.500 0.230
Te1 0.000 0.000 0.500
```

---

(8)
This record from Alexandria via LeMat-Bulk describes an optimized crystal structure of Ce2TmTh3Se6. The functional is PBE.

Summary:
For the uncorrected formation energy, the calculation gives -1655 meV per atom. For the raw total energy, the calculation gives -0.48607 Ry/atom. As for the crystal system: monoclinic. For the total moment, the calculation gives 0.0894 μB/atom.

```
data_Ce2TmTh3Se6
_symmetry_space_group_name_H-M 'C 1 2/m 1'
_symmetry_Int_Tables_number 12
_symmetry_space_group_name_Hall '-C 2y'
_cell_length_a 18.312
_cell_length_b 4.126
_cell_length_c 8.420
_cell_angle_alpha 90.00
_cell_angle_beta 105.17
_cell_angle_gamma 90.00
loop_
_atom_site_label
_atom_site_fract_x
_atom_site_fract_y
_atom_site_fract_z
Ce1 0.167 0.000 0.334
Tm1 0.000 0.500 0.000
Th1 0.000 0.500 0.500
Th2 0.169 0.000 0.833
Se1 0.001 0.000 0.764
Se2 0.161 0.500 0.082
Se3 0.168 0.500 0.580
```

---

(9)
This record from Alexandria via LeMat-Bulk describes an optimized crystal structure of Ce2ScTa. The functional is PBE.

Summary:
For the raw total energy, the calculation gives -0.52139 Ry/atom. As for the crystal system: trigonal. For the total moment, the calculation gives 0.0001 μB/atom. The formation energy from the elements is 1.7 eV per formula unit.

```
data_Ce2ScTa
_symmetry_space_group_name_H-M 'R -3 m'
_symmetry_Int_Tables_number 166
_symmetry_space_group_name_Hall '-R 3 2"'
_cell_length_a 3.0521
_cell_length_b 3.0521
_cell_length_c 35.0093
_cell_angle_alpha 90.00
_cell_angle_beta 90.00
_cell_angle_gamma 120.00
loop_
_atom_site_label
_atom_site_fract_x
_atom_site_fract_y
_atom_site_fract_z
Ce1 0.0000 0.0000 0.0818
Sc1 0.0000 0.0000 0.5000
Ta1 0.0000 0.0000 0.0000
```

---

(10)
This record from Alexandria via LeMat-Bulk describes an optimized crystal structure of MnCuCSBr. The functional is PBE.

Summary:
For the uncorrected formation energy, the calculation gives 194 meV per atom. For the raw total energy, the calculation gives -0.40159 Ry/atom. As for the crystal system: triclinic. For the total moment, the calculation gives 0.5996 μB/atom. As for the distance to the lowest polymorph of the same formula: 80 meV/atom.

```
data_MnCuCSBr
_symmetry_space_group_name_H-M 'P 1'
_symmetry_Int_Tables_number 1
_symmetry_space_group_name_Hall 'P 1'
_cell_length_a 3.305
_cell_length_b 4.153
_cell_length_c 6.619
_cell_angle_alpha 77.67
_cell_angle_beta 86.73
_cell_angle_gamma 75.40
loop_
_atom_site_label
_atom_site_fract_x
_atom_site_fract_y
_atom_site_fract_z
Mn1 0.000 0.000 0.000
Cu1 0.036 0.782 0.377
C1 0.539 0.837 0.179
S1 0.652 0.587 0.987
Br1 0.045 0.217 0.599
```

---

(11)
This record from Alexandria via LeMat-Bulk describes an optimized crystal structure of PmMnSi3Rh. The functional is PBE.

Summary:
For the uncorrected formation energy, the calculation gives -443 meV per atom. For the raw total energy, the calculation gives -0.49245 Ry/atom. As for the crystal system: orthorhombic. For the total moment, the calculation gives 0.0000 μB/atom.

```
data_PmMnSi3Rh
_symmetry_space_group_name_H-M 'C m c m'
_symmetry_Int_Tables_number 63
_symmetry_space_group_name_Hall '-C 2c 2'
_cell_length_a 7.259
_cell_length_b 10.931
_cell_length_c 5.536
_cell_angle_alpha 90.00
_cell_angle_beta 90.00
_cell_angle_gamma 90.00
loop_
_atom_site_label
_atom_site_fract_x
_atom_site_fract_y
_atom_site_fract_z
Pm1 0.000 0.245 0.250
Mn1 0.000 0.046 0.750
Si1 0.000 0.240 0.750
Si2 0.242 0.000 0.000
Rh1 0.000 0.443 0.750
```

---

(12)
This record from Alexandria via LeMat-Bulk describes an optimized crystal structure of Ta2SnH. The functional is PBE.

Summary:
For the raw total energy, the calculation gives -0.55932 Ry/atom. As for the crystal system: trigonal. For the total moment, the calculation gives 0.0000 μB/atom. As for the distance to the lowest polymorph of the same formula: 90 meV/atom.

```
data_Ta2SnH
_symmetry_space_group_name_H-M 'R -3 m'
_symmetry_Int_Tables_number 166
_symmetry_space_group_name_Hall '-R 3 2"'
_cell_length_a 3.2832
_cell_length_b 3.2832
_cell_length_c 20.1782
_cell_angle_alpha 90.00
_cell_angle_beta 90.00
_cell_angle_gamma 120.00
loop_
_atom_site_label
_atom_site_fract_x
_atom_site_fract_y
_atom_site_fract_z
Ta1 0.0000 0.0000 0.2162
Sn1 0.0000 0.0000 0.0000
H1 0.0000 0.0000 0.5000
```

---

(13)
This record from Alexandria via LeMat-Bulk describes an optimized crystal structure of Tb3Y2Zn2. The functional is PBE.

Summary:
For the raw total energy, the calculation gives -0.32021 Ry/atom. As for the crystal system: monoclinic. For the total moment, the calculation gives 0.0000 μB/atom. The formation energy from the elements is -1.1 eV per formula unit. As for the distance to the lowest polymorph of the same formula: 0 meV/atom.

```
data_Tb3Y2Zn2
_symmetry_space_group_name_H-M 'C 1 2/m 1'
_symmetry_Int_Tables_number 12
_symmetry_space_group_name_Hall '-C 2y'
_cell_length_a 12.843
_cell_length_b 3.713
_cell_length_c 9.047
_cell_angle_alpha 90.00
_cell_angle_beta 115.66
_cell_angle_gamma 90.00
loop_
_atom_site_label
_atom_site_fract_x
_atom_site_fract_y
_atom_site_fract_z
Tb1 0.000 0.000 0.000
Tb2 0.112 0.000 0.441
Y1 0.149 0.500 0.811
Zn1 0.178 0.500 0.223
```

---

(14)
This record from Alexandria via LeMat-Bulk describes an optimized crystal structure of CePbSeO2. The functional is PBE.

Summary:
For the uncorrected formation energy, the calculation gives -2075 meV per atom. For the raw total energy, the calculation gives -0.49126 Ry/atom. As for the crystal system: monoclinic. For the total moment, the calculation gives 0.0000 μB/atom.

```
data_CePbSeO2
_symmetry_space_group_name_H-M 'P 1 21/m 1'
_symmetry_Int_Tables_number 11
_symmetry_space_group_name_Hall '-P 2yb'
_cell_length_a 6.822
_cell_length_b 4.069
_cell_length_c 8.067
_cell_angle_alpha 90.00
_cell_angle_beta 108.24
_cell_angle_gamma 90.00
loop_
_atom_site_label
_atom_site_fract_x
_atom_site_fract_y
_atom_site_fract_z
Ce1 0.180 0.250 0.425
Pb1 0.198 0.250 0.929
Se1 0.449 0.750 0.691
O1 0.016 0.750 0.391
O2 0.017 0.250 0.143
```